# 1
Below is a PBEsol-optimized structure of NiRhAu2, with properties calculated at the meta-GGA SCAN level.

Cell and atoms, written as CIF:
```
data_NiRhAu2
_cell_length_a 2.769
_cell_length_b 2.769
_cell_length_c 7.591
_cell_angle_alpha 90.00
_cell_angle_beta 90.00
_cell_angle_gamma 90.00
_space_group_name_H-M_alt 'P 1'
_space_group_IT_number 1
_space_group_name_Hall 'P 1'
loop_
_atom_site_label
_atom_site_fract_x
_atom_site_fract_y
_atom_site_fract_z
Ni1 0.000 0.000 0.515
Au1 0.000 0.000 0.988
Au2 0.500 0.500 0.276
Rh1 0.500 0.500 0.721
```

Output
Calculated volume, Å³/cell: 58.2
Crystal system: tetragonal
Energy above the most stable polymorph in this dataset, meV/atom: 0.0


# 2
Below is a PBEsol-optimized structure of K2BeSi, with properties calculated at the meta-GGA SCAN level.

Cell and atoms, written as CIF:
```
data_K2BeSi
_cell_length_a 4.159
_cell_length_b 5.789
_cell_length_c 5.783
_cell_angle_alpha 120.03
_cell_angle_beta 90.00
_cell_angle_gamma 90.00
_space_group_name_H-M_alt 'P 1'
_space_group_IT_number 1
_space_group_name_Hall 'P 1'
loop_
_atom_site_label
_atom_site_fract_x
_atom_site_fract_y
_atom_site_fract_z
K1 0.500 0.417 0.835
K2 0.000 0.084 0.167
Be1 0.500 0.751 0.501
Si1 0.000 0.750 0.500
```

Output
Calculated volume, Å³/cell: 120.5
Crystal system: hexagonal
ΔE_f (raw), eV per atom: 0.107


# 3
Below is a PBEsol-optimized structure of ZrAlBr2, with properties calculated at the meta-GGA SCAN level.

Cell and atoms, written as CIF:
```
data_ZrAlBr2
_cell_length_a 3.433
_cell_length_b 3.387
_cell_length_c 9.639
_cell_angle_alpha 90.00
_cell_angle_beta 90.00
_cell_angle_gamma 120.46
_space_group_name_H-M_alt 'P 1'
_space_group_IT_number 1
_space_group_name_Hall 'P 1'
loop_
_atom_site_label
_atom_site_fract_x
_atom_site_fract_y
_atom_site_fract_z
Br1 0.500 0.000 0.299
Br2 0.000 0.000 0.942
Al1 0.500 0.000 0.747
Zr1 0.000 0.000 0.512
```

Output
Calculated volume, Å³/cell: 96.6
Crystal system: orthorhombic
ΔE_f (raw), eV per atom: -0.603
Energy above the most stable polymorph in this dataset, meV/atom: 0.0